No. 1
Entry from Alexandria via LeMat-Bulk: Pa2In8Hg after structural relaxation (PBE).

Cell: 4.7582 4.7582 12.5202 Å, 90.00 90.00 90.00°
Closest atoms and distances in Å follow each position.
Space group P4/mmm (No. 123)
Inequivalent atoms, fractional coordinates:
1 Pa 0.0000 0.0000 0.1791 (multiplicity 2)  12 In 3.26-3.36
2 In 0.0000 0.5000 0.0000 (multiplicity 2)  8 In 3.25-3.36, 4 Pa 3.27
3 In 0.0000 0.5000 0.3576 (multiplicity 4)  2 Hg 2.97, 2 Pa 3.26, 2 In 3.28
4 In 0.5000 0.5000 0.1772 (multiplicity 2)  8 In 3.25-3.28, 4 Pa 3.36
5 Hg 0.0000 0.0000 0.5000 (multiplicity 1)  8 In 2.97

Properties
Magnetization in μB per atom: 0.128
VASP energy in eV for the cell shown: -41.534

***

No. 2
Entry from Alexandria via LeMat-Bulk: PaInHgPd after structural relaxation (PBE).

Cell: 7.0574 7.0574 7.0574 Å, 90.00 90.00 90.00°
Closest atoms and distances in Å follow each position.
Space group F-43m (No. 216)
Inequivalent atoms, fractional coordinates:
1 Pa 0.0000 0.0000 0.0000 (multiplicity 4)  4 Hg 3.06, 4 Pd 3.06
2 In 0.0000 0.0000 0.5000 (multiplicity 4)  4 Pd 3.06, 4 Hg 3.06
3 Hg 0.2500 0.2500 0.2500 (multiplicity 4)  4 In 3.06, 4 Pa 3.06
4 Pd 0.2500 0.2500 0.7500 (multiplicity 4)  4 In 3.06, 4 Pa 3.06

Properties
Magnetization in μB per atom: 0.000
VASP energy in eV for the cell shown: -74.899

***

No. 3
Entry from Alexandria via LeMat-Bulk: PmPaInHg after structural relaxation (PBE).

Cell: 7.5835 7.5835 7.5835 Å, 90.00 90.00 90.00°
Closest atoms and distances in Å follow each position.
Space group F-43m (No. 216)
Inequivalent atoms, fractional coordinates:
1 Pm 0.0000 0.0000 0.0000 (multiplicity 4)  4 Hg 3.28, 4 In 3.28
2 Pa 0.0000 0.0000 0.5000 (multiplicity 4)  4 Hg 3.28, 4 In 3.28
3 In 0.2500 0.2500 0.2500 (multiplicity 4)  4 Pa 3.28, 4 Pm 3.28
4 Hg 0.2500 0.2500 0.7500 (multiplicity 4)  4 Pa 3.28, 4 Pm 3.28

Properties
Magnetization in μB per atom: 0.271
VASP energy in eV for the cell shown: -69.967

***

No. 4
Entry from Alexandria via LeMat-Bulk: PuPaInHg after structural relaxation (PBE).

Cell: 7.5176 7.5176 7.5176 Å, 90.00 90.00 90.00°
Closest atoms and distances in Å follow each position.
Space group F-43m (No. 216)
Inequivalent atoms, fractional coordinates:
1 Pu 0.0000 0.0000 0.0000 (multiplicity 4)  4 Hg 3.26, 4 In 3.26
2 Pa 0.0000 0.0000 0.5000 (multiplicity 4)  4 In 3.26, 4 Hg 3.26
3 In 0.2500 0.2500 0.7500 (multiplicity 4)  4 Pa 3.26, 4 Pu 3.26
4 Hg 0.2500 0.2500 0.2500 (multiplicity 4)  4 Pa 3.26, 4 Pu 3.26

Properties
Magnetization in μB per atom: 1.931
VASP energy in eV for the cell shown: -105.958

***

No. 5
Entry from Alexandria via LeMat-Bulk: PaInSnHg after structural relaxation (PBE).

Cell: 4.5051 4.5404 4.8594 Å, 90.00 90.00 90.00°
Closest atoms and distances in Å follow each position.
Space group Pmmm (No. 47)
Inequivalent atoms, fractional coordinates:
1 Pa 0.0000 0.0000 0.0000 (multiplicity 1)  4 Sn 3.20, 4 In 3.31, 4 Hg 3.33
2 In 0.5000 0.0000 0.5000 (multiplicity 1)  4 Hg 3.20, 4 Pa 3.31, 4 Sn 3.33
3 Sn 0.5000 0.5000 0.0000 (multiplicity 1)  4 Pa 3.20, 4 Hg 3.31, 4 In 3.33
4 Hg 0.0000 0.5000 0.5000 (multiplicity 1)  4 In 3.20, 4 Sn 3.31, 4 Pa 3.33

Properties
Magnetization in μB per atom: 0.145
VASP energy in eV for the cell shown: -17.189

***

No. 6
Entry from Alexandria via LeMat-Bulk: PaTlInHg after structural relaxation (PBE).

Cell: 7.4177 7.4177 7.4177 Å, 90.00 90.00 90.00°
Closest atoms and distances in Å follow each position.
Space group F-43m (No. 216)
Inequivalent atoms, fractional coordinates:
1 Pa 0.0000 0.0000 0.0000 (multiplicity 4)  4 Hg 3.21, 4 Tl 3.21
2 Tl 0.2500 0.2500 0.7500 (multiplicity 4)  4 In 3.21, 4 Pa 3.21
3 In 0.0000 0.0000 0.5000 (multiplicity 4)  4 Tl 3.21, 4 Hg 3.21
4 Hg 0.2500 0.2500 0.2500 (multiplicity 4)  4 In 3.21, 4 Pa 3.21

Properties
Magnetization in μB per atom: 0.236
VASP energy in eV for the cell shown: -57.055